Record 1
# PBE CaPrSm2Se4, relaxed
# raw formation energy	-1.86	eV/atom
# N(E_F)	3.15	states/eV per cell
# calculated total energy	-5.63	eV per atom
data_CaPrSm2Se4
_chemical_formula_sum 'Ca1 Pr1 Sm2 Se4'
_space_group_name_H-M_alt 'P 1 2/m 1'
_space_group_IT_number 10
_space_group_name_Hall '-P 2y'
_cell_length_a 7.278
_cell_length_b 4.177
_cell_length_c 7.310
_cell_angle_alpha 90.00
_cell_angle_beta 109.07
_cell_angle_gamma 90.00
loop_
_atom_site_label
_atom_site_type_symbol
_atom_site_fract_x
_atom_site_fract_y
_atom_site_fract_z
Ca1 Ca 0.000 0.000 0.000
Pr1 Pr 0.000 0.500 0.500
Sm1 Sm 0.500 0.000 0.500
Sm2 Sm 0.500 0.500 0.000
Se1 Se 0.250 0.500 0.245
Se2 Se 0.253 0.000 0.757

Record 2
# PBE Pr6DyEr2Tm, relaxed
# N(E_F)	58.58	states/eV per cell
# calculated total energy	-4.57	eV per atom
# E_form	0.116	eV per atom
data_Pr6DyEr2Tm
_chemical_formula_sum 'Pr24 Dy4 Er8 Tm4'
_space_group_name_H-M_alt 'C 1 2/c 1'
_space_group_IT_number 15
_space_group_name_Hall '-C 2yc'
_cell_length_a 9.316
_cell_length_b 15.383
_cell_length_c 9.649
_cell_angle_alpha 90.00
_cell_angle_beta 97.34
_cell_angle_gamma 90.00
loop_
_atom_site_label
_atom_site_type_symbol
_atom_site_fract_x
_atom_site_fract_y
_atom_site_fract_z
Pr1 Pr 0.060 0.175 0.446
Pr2 Pr 0.098 0.391 0.617
Pr3 Pr 0.216 0.221 0.810
Dy1 Dy 0.000 0.028 0.750
Er1 Er 0.249 0.048 0.047
Tm1 Tm 0.000 0.413 0.250

Q: Which of these has the highest N(E_F)?
A: Pr6DyEr2Tm